[1]
Compound: BaP4Au2
Source: Alexandria via LeMat-Bulk
Functional: SCAN
Structure: PBEsol geometry

abc: 11.6178 11.2568 5.4512
angles: 79.93 72.55 27.52
With the nearest neighbours (Å) after each atom.
Element x y z (fractional)
Ba (0.1250, 0.1250, 0.1250)  6 Au 3.32-3.49, 4 P 3.47
Ba (0.8750, 0.8750, 0.8750)  6 Au 3.32-3.49, 4 P 3.47
P (0.1186, 0.4769, 0.3962)  2 P 2.20-2.22, 1 Au 2.36
P (0.3962, 0.5082, 0.1186)  2 P 2.20-2.22, 1 Au 2.36
P (0.4769, 0.1186, 0.5082)  2 P 2.20-2.22, 1 Au 2.36
P (0.4918, 0.6038, 0.5231)  2 P 2.20-2.22, 1 Au 2.36
P (0.5082, 0.3962, 0.4769)  2 P 2.20-2.22, 1 Au 2.36
P (0.5231, 0.8814, 0.4918)  2 P 2.20-2.22, 1 Au 2.36
P (0.6038, 0.4918, 0.8814)  2 P 2.20-2.22, 1 Au 2.36
P (0.8814, 0.5231, 0.6038)  2 P 2.20-2.22, 1 Au 2.36
Au (0.0371, 0.0371, 0.7129)  2 P 2.36
Au (0.2871, 0.2871, 0.9629)  2 P 2.36
Au (0.7129, 0.7129, 0.0371)  2 P 2.36
Au (0.9629, 0.9629, 0.2871)  2 P 2.36

The calculation puts the formation energy at -4.21 eV/f.u. The space-group type is Fddd (70). The calculation puts the total energy at -2.3485 Ry/atom. For the magnetic moment, the calculation gives 0.0 μB per formula unit.

[2]
Compound: LiBeW2
Source: Alexandria via LeMat-Bulk
Functional: SCAN
Structure: PBEsol geometry

abc: 9.2620 9.2620 9.2620
angles: 16.64 16.64 16.64
With the nearest neighbours (Å) after each atom.
Element x y z (fractional)
Li (0.0000, 0.0000, 0.0000)  6 Li 2.68, 6 W 2.92
Be (0.5000, 0.5000, 0.5000)  6 W 2.60, 6 Be 2.68
W (0.2430, 0.2430, 0.2430)  3 Be 2.60, 6 W 2.68
W (0.7570, 0.7570, 0.7570)  3 Be 2.60, 6 W 2.68

The calculation puts the formation energy at 1.98 eV/f.u. The space-group type is R-3m (166). The calculation puts the total energy at -2.6484 Ry/atom. For the magnetic moment, the calculation gives 0.0 μB per formula unit.